Ta2TiV2 | PBE-GGA | optimized geometry

a = 7.047 Å, b = 7.047 Å, c = 3.383 Å
α = 90.00°, β = 90.00°, γ = 90.00°
Sites, in units of the cell vectors:
Ta: 0.160 0.340 0.000
Ta: 0.340 0.840 0.000
Ta: 0.660 0.160 0.000
Ta: 0.840 0.660 0.000
Ti: 0.000 0.000 0.500
Ti: 0.500 0.500 0.500
V: 0.138 0.638 0.500
V: 0.362 0.138 0.500
V: 0.638 0.862 0.500
V: 0.862 0.362 0.500

Output
As for the space group: P4/mbm (127). The volume comes out at 16.8 Å³/atom.


TaTi2V2 | PBE-GGA | optimized geometry

a = 6.950 Å, b = 6.950 Å, c = 3.359 Å
α = 90.00°, β = 90.00°, γ = 90.00°
Sites, in units of the cell vectors:
Ta: 0.000 0.000 0.000
Ta: 0.500 0.500 0.000
Ti: 0.167 0.333 0.500
Ti: 0.333 0.833 0.500
Ti: 0.667 0.167 0.500
Ti: 0.833 0.667 0.500
V: 0.133 0.633 0.000
V: 0.367 0.133 0.000
V: 0.633 0.867 0.000
V: 0.867 0.367 0.000

Output
Its offset from the most stable computed form is 7.2 kJ/mol of atoms. As for the space group: P4/mbm (127). The volume comes out at 16.2 Å³/atom.


TaTi2V2 | PBE-GGA | optimized geometry

a = 7.282 Å, b = 7.282 Å, c = 3.054 Å
α = 90.00°, β = 90.00°, γ = 90.00°
Sites, in units of the cell vectors:
Ta: 0.000 0.000 0.000
Ta: 0.500 0.500 0.000
Ti: 0.142 0.358 0.000
Ti: 0.358 0.858 0.000
Ti: 0.642 0.142 0.000
Ti: 0.858 0.642 0.000
V: 0.145 0.645 0.500
V: 0.355 0.145 0.500
V: 0.645 0.855 0.500
V: 0.855 0.355 0.500

Output
Its offset from the most stable computed form is 18.2 kJ/mol of atoms. As for the space group: P4/mbm (127). The volume comes out at 16.2 Å³/atom.


Ta2TiV | PBE-GGA | optimized geometry

a = 3.189 Å, b = 3.189 Å, c = 6.600 Å
α = 90.00°, β = 90.00°, γ = 90.00°
Sites, in units of the cell vectors:
Ta: 0.000 0.000 0.233
Ta: 0.000 0.000 0.767
Ti: 0.500 0.500 0.500
V: 0.500 0.500 0.000

Output
Its offset from the most stable computed form is 0.0 kJ/mol of atoms. As for the space group: P4/mmm (123). The volume comes out at 16.8 Å³/atom.


| no. | mass density (g/cm3) | ΔH_f (0 K) (eV/atom) |
| --- | --- | --- |
| 1 | 10.11 | 0.26 |
| 2 | 7.75 | 0.24 |
| 3 | 7.76 | 0.35 |
| 4 | 11.40 | 0.06 |